A geometry-optimized Tb3Nd2Cd structure, computed with PBE.

```
6
Lattice="3.628 0.000 0.000 0.000 3.628 0.000 0.000 0.000 14.237" Properties=species:S:1:pos:R:3 pbc="T T T"
Tb 0.000 0.000 0.000
Tb 0.000 0.000 5.086
Tb 0.000 0.000 9.152
Nd 1.814 1.814 2.559
Nd 1.814 1.814 11.678
Cd 1.814 1.814 7.119
```

Computed properties:
Size of the total moment in μB/f.u.: 0.00
ΔE to the lowest computed polymorph in kJ per mole of atoms: 0.0

=====

A geometry-optimized TbNd12Cd3 structure, computed with PBE.

```
16
Lattice="5.011 0.000 0.000 0.000 5.011 0.000 0.000 0.000 20.318" Properties=species:S:1:pos:R:3 pbc="T T T"
Tb 0.000 0.000 0.000
Nd 0.000 2.505 2.650
Nd 0.000 2.505 7.668
Nd 0.000 2.505 12.649
Nd 0.000 2.505 17.668
Nd 2.505 0.000 2.650
Nd 2.505 0.000 7.668
Nd 2.505 0.000 12.649
Nd 2.505 0.000 17.668
Nd 2.505 2.505 0.000
Nd 2.505 2.505 5.166
Nd 2.505 2.505 10.159
Nd 2.505 2.505 15.152
Cd 0.000 0.000 5.213
Cd 0.000 0.000 10.159
Cd 0.000 0.000 15.105
```

Computed properties:
Size of the total moment in μB/f.u.: 0.00

=====

A geometry-optimized Tb8Nd5Cd structure, computed with PBE.

```
14
Lattice="-4.838 4.838 5.004 4.838 -4.838 5.004 4.838 4.838 -5.004" Properties=species:S:1:pos:R:3 pbc="T T T"
Tb 6.683 0.825 -0.052
Tb 4.179 3.170 -1.580
Tb 0.825 2.993 0.052
Tb 0.659 1.668 3.424
Tb 1.668 -0.659 6.585
Tb 4.013 1.845 5.057
Tb 3.170 5.497 1.580
Tb -1.845 4.013 4.952
Nd 2.798 -0.964 3.306
Nd 3.874 2.040 1.698
Nd 2.040 5.802 -1.698
Nd 0.000 4.838 2.502
Nd 0.964 2.798 6.702
Cd 0.000 0.000 0.000
```

Computed properties:
Size of the total moment in μB/f.u.: 0.00

=====

A geometry-optimized Tb3Nd4Cd4 structure, computed with PBE.

```
11
Lattice="-1.798 4.651 9.928 1.798 -4.651 9.928 1.798 4.651 -9.928" Properties=species:S:1:pos:R:3 pbc="T T T"
Tb 0.000 0.000 0.000
Tb 1.798 0.000 7.983
Tb 0.000 4.651 1.945
Nd 1.798 1.644 -3.112
Nd 1.798 1.644 3.112
Nd 0.000 3.006 6.817
Nd 0.000 3.006 13.040
Cd 0.000 0.000 5.377
Cd 1.798 2.737 0.000
Cd 0.000 1.914 9.928
Cd 0.000 0.000 14.480
```

Computed properties:
Size of the total moment in μB/f.u.: 0.00

=====

A geometry-optimized TbNd5Cd3 structure, computed with PBE.

```
18
Lattice="9.461 0.000 0.000 -4.730 8.193 0.000 0.000 0.000 7.065" Properties=species:S:1:pos:R:3 pbc="T T T"
Tb 0.000 0.000 0.000
Tb 0.000 0.000 3.532
Nd -1.584 2.744 1.766
Nd -3.146 5.449 5.298
Nd 0.000 5.462 0.000
Nd 0.000 5.462 3.532
Nd 3.169 0.000 1.766
Nd 1.584 2.744 5.298
Nd 6.292 0.000 5.298
Nd 3.146 5.449 1.766
Nd 4.730 2.731 0.000
Nd 4.730 2.731 3.532
Cd -1.553 2.689 5.298
Cd -3.178 5.504 1.766
Cd 3.105 0.000 5.298
Cd 1.553 2.689 1.766
Cd 6.355 0.000 1.766
Cd 3.178 5.504 5.298
```

Computed properties:
Size of the total moment in μB/f.u.: 0.00

=====

A geometry-optimized Tb3NdCd structure, computed with PBE.

```
20
Lattice="7.384 -6.731 0.000 7.384 6.731 0.000 -1.556 0.000 6.189" Properties=species:S:1:pos:R:3 pbc="T T T"
Tb 0.779 0.847 2.951
Tb 4.106 2.552 2.353
Tb 0.001 -0.847 6.045
Tb 3.101 0.861 5.416
Tb 3.879 -0.861 2.322
Tb 9.883 2.552 0.742
Tb 3.329 -2.552 5.447
Tb 9.332 0.861 3.867
Tb 10.110 -0.861 0.773
Tb 13.211 0.847 0.144
Tb 9.105 -2.552 3.836
Tb 12.433 -0.847 3.238
Nd 4.395 4.066 6.161
Nd 8.039 4.066 3.122
Nd 5.173 -4.066 3.067
Nd 8.817 -4.066 0.027
Cd 6.217 1.681 4.641
Cd 6.995 1.218 1.547
Cd 6.217 -1.218 4.641
Cd 6.995 -1.681 1.547
```

Computed properties:
Size of the total moment in μB/f.u.: 0.00
ΔE to the lowest computed polymorph in kJ per mole of atoms: 2.1

=====

A geometry-optimized Tb3Nd3Cd2 structure, computed with PBE.

```
16
Lattice="2.670 -5.934 0.000 2.670 5.934 0.000 0.000 0.000 15.781" Properties=species:S:1:pos:R:3 pbc="T T T"
Tb 2.670 5.395 11.836
Tb 2.670 4.237 0.525
Tb 2.670 4.237 7.366
Tb 2.670 -4.237 8.415
Tb 2.670 -4.237 15.256
Tb 2.670 -5.395 3.945
Nd 2.670 3.171 3.945
Nd 2.670 0.446 1.691
Nd 2.670 0.446 6.200
Nd 2.670 -0.446 9.582
Nd 2.670 -0.446 14.090
Nd 2.670 -3.171 11.836
Cd 2.670 2.754 10.029
Cd 2.670 2.754 13.643
Cd 2.670 -2.754 2.138
Cd 2.670 -2.754 5.752
```

Computed properties:
Size of the total moment in μB/f.u.: 0.00

=====

A geometry-optimized Tb3Nd2Cd2 structure, computed with PBE.

```
7
Lattice="2.738 1.581 8.077 -2.738 1.581 8.077 0.000 -3.161 8.077" Properties=species:S:1:pos:R:3 pbc="T T T"
Tb 0.000 0.000 0.000
Tb 0.000 0.000 3.790
Tb 0.000 0.000 20.440
Nd 0.000 0.000 10.301
Nd 0.000 0.000 13.929
Cd 0.000 0.000 6.966
Cd 0.000 0.000 17.264
```

Computed properties:
Size of the total moment in μB/f.u.: 0.00
ΔE to the lowest computed polymorph in kJ per mole of atoms: 0.0

=====

A geometry-optimized Tb3Nd2Cd2 structure, computed with PBE.

```
14
Lattice="3.598 0.000 0.000 0.000 33.167 0.000 0.000 0.000 3.550" Properties=species:S:1:pos:R:3 pbc="T T T"
Tb 0.000 0.000 0.000
Tb 0.000 14.097 1.775
Tb 0.000 19.070 1.775
Tb 1.799 2.487 1.775
Tb 1.799 16.584 0.000
Tb 1.799 30.680 1.775
Nd 0.000 9.865 1.775
Nd 0.000 23.302 1.775
Nd 1.799 6.719 1.775
Nd 1.799 26.448 1.775
Cd 0.000 4.534 0.000
Cd 0.000 28.633 0.000
Cd 1.799 12.049 0.000
Cd 1.799 21.118 0.000
```

Computed properties:
Size of the total moment in μB/f.u.: 0.00
ΔE to the lowest computed polymorph in kJ per mole of atoms: 3.7

=====

A geometry-optimized Tb5Nd4Cd structure, computed with PBE.

```
10
Lattice="4.155 0.000 0.000 0.000 4.155 0.000 0.000 0.000 18.565" Properties=species:S:1:pos:R:3 pbc="T T T"
Tb 0.000 0.000 0.000
Tb 0.000 0.000 3.820
Tb 0.000 0.000 7.618
Tb 0.000 0.000 10.947
Tb 0.000 0.000 14.745
Nd 2.077 2.077 1.897
Nd 2.077 2.077 5.596
Nd 2.077 2.077 12.969
Nd 2.077 2.077 16.668
Cd 2.077 2.077 9.282
```

Computed properties:
Size of the total moment in μB/f.u.: 0.00
ΔE to the lowest computed polymorph in kJ per mole of atoms: 0.0

=====

A geometry-optimized Tb2Nd8Cd structure, computed with PBE.

```
11
Lattice="9.189 -2.554 0.000 9.189 2.554 0.000 -2.147 0.000 7.793" Properties=species:S:1:pos:R:3 pbc="T T T"
Tb 3.843 0.000 1.046
Tb 12.388 0.000 6.747
Nd 0.350 0.000 1.750
Nd 1.045 0.000 5.301
Nd 4.611 0.000 4.601
Nd 7.409 0.000 0.426
Nd 8.822 0.000 7.367
Nd 11.620 0.000 3.192
Nd 15.186 0.000 2.491
Nd 15.881 0.000 6.042
Cd 8.115 0.000 3.896
```

Computed properties:
Size of the total moment in μB/f.u.: 0.00
ΔE to the lowest computed polymorph in kJ per mole of atoms: 0.0

=====

A geometry-optimized TbNdCd6 structure, computed with PBE.

```
16
Lattice="4.934 0.000 0.000 0.000 7.149 0.000 0.000 0.000 11.151" Properties=species:S:1:pos:R:3 pbc="T T T"
Tb 0.000 0.000 0.000
Tb 0.000 3.574 5.575
Nd 2.467 0.000 3.136
Nd 2.467 3.574 8.712
Cd 0.000 0.000 5.257
Cd 0.000 1.537 8.166
Cd 0.000 2.037 2.590
Cd 0.000 3.574 10.832
Cd 0.000 5.112 2.590
Cd 0.000 5.611 8.166
Cd 2.467 0.000 9.084
Cd 2.467 1.564 6.112
Cd 2.467 2.011 0.537
Cd 2.467 3.574 3.508
Cd 2.467 5.138 0.537
Cd 2.467 5.585 6.112
```

Computed properties:
Size of the total moment in μB/f.u.: 0.00

=====

Sequential ΔH_f (0 K) output: -0.098 -0.075 0.191 -0.131 -0.174 -0.025 -0.069 -0.147 -0.109 0.046 -0.020 -0.295 eV/atom
Sequential VASP energy output: -4.155 -4.111 -4.223 -3.460 -3.642 -3.939 -3.822 -3.756 -3.717 -4.268 -4.413 -2.156 eV per atom